[1]
Density functional theory data (PBE) for an optimized crystal structure of SrNdB2O6.

Its calculated total energy is -306.53 eV per cell.

It has space group C2/c (No. 15), with a = 8.468 Å, b = 9.994 Å, c = 6.940 Å, α = 90.00°, β = 109.67° and γ = 90.00°. The distinct sites, in fractional coordinates, are Sr at (0.000, 0.165, 0.250), Nd at (0.000, 0.394, 0.750), B at (0.246, 0.105, 0.734), O at (0.098, 0.385, 0.115), O at (0.153, 0.218, 0.658) and O at (0.199, 0.019, 0.148).

=====

[2]
Density functional theory data (PBE) for an optimized crystal structure of TlSn2TeO8.

Its calculated total energy is -134.81 eV per cell.

It has space group Cmmm (No. 65), with a = 6.937 Å, b = 6.951 Å, c = 6.684 Å, α = 90.00°, β = 90.00° and γ = 90.00°. The distinct sites, in fractional coordinates, are Tl at (0.000, 0.000, 0.000), Sn at (0.000, 0.500, 0.250), Te at (0.000, 0.000, 0.500), O at (0.000, 0.302, 0.500), O at (0.000, 0.317, 0.000) and O at (0.197, 0.000, 0.275).

=====

[3]
Density functional theory data (PBE) for an optimized crystal structure of Ho2TePb.

The value obtained for the excess energy over the best structure of this formula in the dataset is 0.1842 eV/atom.

It has space group P4/mmm (No. 123), with a = 3.682 Å, b = 3.682 Å, c = 8.125 Å, α = 90.00°, β = 90.00° and γ = 90.00°. The distinct sites, in fractional coordinates, are Ho at (0.000, 0.000, 0.236), Te at (0.500, 0.500, 0.000) and Pb at (0.500, 0.500, 0.500).

=====

[4]
Density functional theory data (PBE) for an optimized crystal structure of SrInRu2.

Its formation energy is 0.135 eV/atom.

It has space group C2/m (No. 12), with a = 8.002 Å, b = 4.620 Å, c = 6.146 Å, α = 90.00°, β = 115.81° and γ = 90.00°. The distinct sites, in fractional coordinates, are Sr at (0.000, 0.000, 0.000), In at (0.000, 0.500, 0.500) and Ru at (0.178, 0.000, 0.533).

=====

[5]
Density functional theory data (PBE) for an optimized crystal structure of KW2Br.

The value obtained for the excess energy over the best structure of this formula in the dataset is 0.6751 eV/atom.

It has space group Imm2 (No. 44), with a = 3.240 Å, b = 6.594 Å, c = 11.005 Å, α = 90.00°, β = 90.00° and γ = 90.00°. The distinct sites, in fractional coordinates, are K at (0.000, 0.000, 0.000), W at (0.000, 0.000, 0.521), W at (0.000, 0.500, 0.862) and Br at (0.000, 0.500, 0.231).

=====

[6]
Density functional theory data (PBE) for an optimized crystal structure of GaMo.

The value obtained for the excess energy over the best structure of this formula in the dataset is 0.4396 eV/atom. Its formation energy is 0.352 eV/atom.

It has space group I4/m (No. 87), with a = 7.713 Å, b = 7.713 Å, c = 4.777 Å, α = 90.00°, β = 90.00° and γ = 90.00°. The distinct sites, in fractional coordinates, are Ga at (0.116, 0.800, 0.000) and Mo at (0.044, 0.650, 0.500).

=====

[7]
Density functional theory data (PBE) for an optimized crystal structure of SrSbI2O.

The value obtained for the excess energy over the best structure of this formula in the dataset is 0.3763 eV/atom.

It has space group P4/mmm (No. 123), with a = 6.407 Å, b = 6.407 Å, c = 4.262 Å, α = 90.00°, β = 90.00° and γ = 90.00°. The distinct sites, in fractional coordinates, are Sr at (0.000, 0.000, 0.000), Sb at (0.500, 0.500, 0.500), I at (0.000, 0.500, 0.000) and O at (0.000, 0.000, 0.500).

=====

[8]
Density functional theory data (PBE) for an optimized crystal structure of SrTmBO4.

Its calculated total energy is -108.18 eV per cell.

It has space group P2_1/m (No. 11), with a = 5.032 Å, b = 5.253 Å, c = 6.752 Å, α = 90.00°, β = 108.03° and γ = 90.00°. The distinct sites, in fractional coordinates, are Sr at (0.204, 0.250, 0.425), Tm at (0.284, 0.250, 0.960), B at (0.279, 0.750, 0.188), O at (0.093, 0.750, 0.323), O at (0.114, 0.750, 0.959) and O at (0.469, 0.523, 0.226).

=====

| no. | total magnetic moment (μB/atom) |
| --- | --- |
| 1 | 0.101 |
| 2 | 0.000 |
| 3 | 0.000 |
| 4 | 0.146 |
| 5 | 0.090 |
| 6 | 0.000 |
| 7 | 0.141 |
| 8 | 0.000 |